Record 1
TaTl2AsOs, optimized geometry, DFT GGA-PBEsol; calculated total energy = -5.99 eV per atom; SG = P4/mmm, No. 123; theoretical density = 11.19 g/cm³; ΔE_f = 1041 meV/atom; calculated volume = 25.36 A^3/atom; crystal system = tetragonal
1.0
5.1257 0.0000 0.0000
0.0000 5.1257 0.0000
0.0000 0.0000 4.8270
Ta Tl As Os
1 2 1 1
Cartesian
0.0000 0.0000 0.0000
0.0000 2.5629 2.4135
2.5629 0.0000 2.4135
2.5629 2.5629 0.0000
0.0000 0.0000 2.4135

---

Record 2
TcAsOs, optimized geometry, DFT GGA-PBEsol; calculated total energy = -9.27 eV per atom; SG = F-43m, No. 216; theoretical density = 12.13 g/cm³; ΔE_f = 257 meV/atom; calculated volume = 16.57 A^3/atom; crystal system = cubic
1.0
0.0000 2.9182 2.9182
2.9182 0.0000 2.9182
2.9182 2.9182 0.0000
Tc As Os
1 1 1
Cartesian
0.0000 0.0000 0.0000
2.9182 2.9182 2.9182
4.3773 4.3773 4.3773

---

Record 3
TcAsOs2, optimized geometry, DFT GGA-PBEsol; calculated total energy = -9.99 eV per atom; SG = Immm, No. 71; theoretical density = 16.35 g/cm³; ΔE_f = 209 meV/atom; calculated volume = 14.05 A^3/atom; crystal system = orthorhombic
1.0
-1.4433 2.1808 4.4649
1.4433 -2.1808 4.4649
1.4433 2.1808 -4.4649
Tc As Os
1 1 2
Cartesian
0.0000 0.0000 0.0000
0.0000 0.0000 4.4649
1.4433 0.0000 2.4801
0.0000 2.1808 1.9849

---

Record 4
TeAsOs2, optimized geometry, DFT GGA-PBEsol; ΔE_f (raw) = 0.711 eV per atom; calculated total energy = -7.55 eV per atom; SG = Fm-3m, No. 225; theoretical density = 15.03 g/cm³; energy above the lowest structure with this stoichiometry = 0 meV per atom; calculated volume = 16.10 A^3/atom; crystal system = cubic
1.0
0.0000 3.1813 3.1813
3.1813 0.0000 3.1813
3.1813 3.1813 0.0000
Te As Os
1 1 2
Cartesian
0.0000 0.0000 0.0000
3.1813 3.1813 3.1813
1.5906 1.5906 1.5906
4.7719 4.7719 4.7719

---

Record 5
Te2AsOs, optimized geometry, DFT GGA-PBEsol; ΔE_f (raw) = 0.599 eV per atom; calculated total energy = -5.49 eV per atom; SG = P2/m, No. 10; theoretical density = 9.54 g/cm³; calculated volume = 22.63 A^3/atom; crystal system = monoclinic
1.0
2.8229 0.0000 0.0000
0.0000 3.8861 0.0000
-0.0047 0.0000 8.2533
Te As Os
2 1 1
Cartesian
0.0044 0.0000 2.3131
2.8137 0.0000 5.9402
0.0000 1.9431 0.0000
-0.0024 1.9431 4.1266

---

Record 6
TeAsOs, optimized geometry, DFT GGA-PBEsol; ΔE_f (raw) = 0.127 eV per atom; calculated total energy = -6.82 eV per atom; SG = F-43m, No. 216; theoretical density = 11.04 g/cm³; calculated volume = 19.69 A^3/atom; crystal system = cubic
1.0
0.0000 3.0909 3.0909
3.0909 0.0000 3.0909
3.0909 3.0909 0.0000
Te As Os
1 1 1
Cartesian
0.0000 0.0000 0.0000
3.0909 3.0909 3.0909
4.6364 4.6364 4.6364

---

Record 7
Te3AsOs, optimized geometry, DFT GGA-PBEsol; ΔE_f (raw) = 1.703 eV per atom; calculated total energy = -3.88 eV per atom; SG = Pm-3m, No. 221; theoretical density = 7.61 g/cm³; energy above the lowest structure with this stoichiometry = 831 meV per atom; calculated volume = 28.29 A^3/atom; crystal system = cubic
1.0
5.2104 0.0000 0.0000
0.0000 5.2104 0.0000
0.0000 0.0000 5.2104
Te As Os
3 1 1
Cartesian
0.0000 0.0000 2.6052
0.0000 2.6052 0.0000
2.6052 0.0000 0.0000
0.0000 0.0000 0.0000
2.6052 2.6052 2.6052

---

Record 8
Te3AsOs, optimized geometry, DFT GGA-PBEsol; ΔE_f (raw) = 0.872 eV per atom; calculated total energy = -4.71 eV per atom; SG = Pm-3m, No. 221; theoretical density = 7.99 g/cm³; energy above the lowest structure with this stoichiometry = 0 meV per atom; calculated volume = 26.93 A^3/atom; crystal system = cubic
1.0
5.1253 0.0000 0.0000
0.0000 5.1253 0.0000
0.0000 0.0000 5.1253
Te As Os
3 1 1
Cartesian
0.0000 0.0000 2.5627
0.0000 2.5627 0.0000
2.5627 0.0000 0.0000
2.5627 2.5627 2.5627
0.0000 0.0000 0.0000

---

Copy entry 6 word for word.
TeAsOs, optimized geometry, DFT GGA-PBEsol; ΔE_f (raw) = 0.127 eV per atom; calculated total energy = -6.82 eV per atom; SG = F-43m, No. 216; theoretical density = 11.04 g/cm³; calculated volume = 19.69 A^3/atom; crystal system = cubic
1.0
0.0000 3.0909 3.0909
3.0909 0.0000 3.0909
3.0909 3.0909 0.0000
Te As Os
1 1 1
Cartesian
0.0000 0.0000 0.0000
3.0909 3.0909 3.0909
4.6364 4.6364 4.6364